DFT (GGA-PBE) results for Na2ReRu2 after structural relaxation.

M_tot = 0.00 μB/cell
V = 201.3 Å³/cell
Raw total energy = -6.01 eV per atom
D(E_F) = 4.15 states/eV/f.u.
E above lowest polymorph = 0.000 eV per atom

```
data_Na2ReRu2
_cell_length_a 6.2100
_cell_length_b 6.2100
_cell_length_c 5.2208
_cell_angle_alpha 90.00
_cell_angle_beta 90.00
_cell_angle_gamma 90.00
_symmetry_space_group_name_H-M 'P 4/m b m'
_symmetry_Int_Tables_number 127
_symmetry_space_group_name_Hall '-P 4 2ab'
loop_
_atom_site_label
_atom_site_type_symbol
_atom_site_fract_x
_atom_site_fract_y
_atom_site_fract_z
Na1 Na 0.1781 0.3219 0.0000
Re1 Re 0.0000 0.0000 0.5000
Ru1 Ru 0.1377 0.6377 0.5000
```